Below is a relaxed structure of BeZn2Cl, with properties calculated at the PBE-GGA level.

E_form (uncorrected) (eV per atom): 0.34
Total magnetization (Bohr magnetons per cell): 0.00

The structure in POSCAR format:
```
BeZn2Cl
1.0
4.8370 0.2229 0.0000
-1.3279 4.6565 0.0000
0.0000 0.0000 2.8282
Be Zn Cl
1 2 1
Direct
0.5000 0.0000 0.5000
0.0000 0.0000 0.0000
0.5000 0.5000 0.0000
0.0000 0.5000 0.5000
```